The following is a DFT calculation (PBE) of a geometry-optimized AcU6P8 structure.

a b c (Å): 7.2219 7.2219 7.2219
angles (deg): 73.25 73.25 73.25
Positions (direct):
Ac  0.0000  0.0000  0.0000
U  0.0688  0.6495  0.4669
U  0.3505  0.5331  0.9312
U  0.4669  0.0688  0.6495
U  0.5331  0.9312  0.3505
U  0.6495  0.4669  0.0688
U  0.9312  0.3505  0.5331
P  0.1264  0.3733  0.8038
P  0.1962  0.8736  0.6267
P  0.3250  0.3250  0.3250
P  0.3733  0.8038  0.1264
P  0.6267  0.1962  0.8736
P  0.6750  0.6750  0.6750
P  0.8038  0.1264  0.3733
P  0.8736  0.6267  0.1962

Calculated values
space group = R-3, No. 148

***

The following is a DFT calculation (PBE) of a geometry-optimized Ac5U3P12 structure.

a b c (Å): 14.4225 14.4225 14.4225
angles (deg): 109.47 109.47 109.47
Positions (direct):
Ac  0.0000  0.0000  0.0000
Ac  0.0000  0.0000  0.5000
Ac  0.0000  0.5000  0.0000
Ac  0.0000  0.5000  0.5000
Ac  0.1250  0.7500  0.8750
Ac  0.1250  0.8750  0.2500
Ac  0.2500  0.1250  0.8750
Ac  0.2500  0.6250  0.3750
Ac  0.3750  0.2500  0.6250
Ac  0.3750  0.6250  0.7500
Ac  0.5000  0.0000  0.0000
Ac  0.5000  0.0000  0.5000
Ac  0.5000  0.5000  0.0000
Ac  0.5000  0.5000  0.5000
Ac  0.6250  0.3750  0.2500
Ac  0.6250  0.7500  0.3750
Ac  0.7500  0.3750  0.6250
Ac  0.7500  0.8750  0.1250
Ac  0.8750  0.1250  0.7500
Ac  0.8750  0.2500  0.1250
U  0.1250  0.2500  0.3750
U  0.1250  0.3750  0.7500
U  0.2500  0.3750  0.1250
U  0.2500  0.8750  0.6250
U  0.3750  0.1250  0.2500
U  0.3750  0.7500  0.1250
U  0.6250  0.2500  0.8750
U  0.6250  0.8750  0.7500
U  0.7500  0.1250  0.3750
U  0.7500  0.6250  0.8750
U  0.8750  0.6250  0.2500
U  0.8750  0.7500  0.6250
P  0.0774  0.6670  0.4090
P  0.0774  0.9104  0.6685
P  0.0896  0.2581  0.1670
P  0.0896  0.3315  0.9226
P  0.0910  0.7581  0.6685
P  0.0910  0.8330  0.4226
P  0.1670  0.0896  0.2581
P  0.1670  0.5774  0.9090
P  0.1685  0.2581  0.5910
P  0.1685  0.4104  0.5774
P  0.2419  0.3315  0.9090
P  0.2419  0.4104  0.3330
P  0.2581  0.1670  0.0896
P  0.2581  0.5910  0.1685
P  0.3315  0.9090  0.2419
P  0.3315  0.9226  0.0896
P  0.3330  0.2419  0.4104
P  0.3330  0.5910  0.9226
P  0.4090  0.0774  0.6670
P  0.4090  0.8315  0.7419
P  0.4104  0.3330  0.2419
P  0.4104  0.5774  0.1685
P  0.4226  0.0910  0.8330
P  0.4226  0.8315  0.5896
P  0.5774  0.1685  0.4104
P  0.5774  0.9090  0.1670
P  0.5896  0.4226  0.8315
P  0.5896  0.6670  0.7581
P  0.5910  0.1685  0.2581
P  0.5910  0.9226  0.3330
P  0.6670  0.4090  0.0774
P  0.6670  0.7581  0.5896
P  0.6685  0.0774  0.9104
P  0.6685  0.0910  0.7581
P  0.7419  0.4090  0.8315
P  0.7419  0.8330  0.9104
P  0.7581  0.5896  0.6670
P  0.7581  0.6685  0.0910
P  0.8315  0.5896  0.4226
P  0.8315  0.7419  0.4090
P  0.8330  0.4226  0.0910
P  0.8330  0.9104  0.7419
P  0.9090  0.1670  0.5774
P  0.9090  0.2419  0.3315
P  0.9104  0.6685  0.0774
P  0.9104  0.7419  0.8330
P  0.9226  0.0896  0.3315
P  0.9226  0.3330  0.5910

Calculated values
space group = Ia-3d, No. 230

***

The following is a DFT calculation (PBE) of a geometry-optimized AcUP structure.

a b c (Å): 3.9310 3.9310 6.8604
angles (deg): 90.00 90.00 120.00
Positions (direct):
Ac  0.0000  0.0000  0.0000
U  0.3333  0.6667  0.4752
P  0.6667  0.3333  0.7026

Calculated values
space group = P3m1, No. 156
distance to the lowest polymorph of the same formula = 0.87 eV per formula unit

***

The following is a DFT calculation (PBE) of a geometry-optimized AcVP2 structure.

a b c (Å): 7.9509 7.9509 7.9509
angles (deg): 33.71 33.71 33.71
Positions (direct):
Ac  0.0000  0.0000  0.0000
V  0.5000  0.5000  0.5000
P  0.3997  0.3997  0.3997
P  0.6003  0.6003  0.6003

Calculated values
space group = R-3m, No. 166
distance to the lowest polymorph of the same formula = 1.84 eV per formula unit

***

The following is a DFT calculation (PBE) of a geometry-optimized AcVP2 structure.

a b c (Å): 3.2960 3.2960 6.8737
angles (deg): 90.00 90.00 90.00
Positions (direct):
Ac  0.0000  0.0000  0.0000
V  0.0000  0.0000  0.5000
P  0.5000  0.5000  0.3175
P  0.5000  0.5000  0.6825

Calculated values
space group = P4/mmm, No. 123
distance to the lowest polymorph of the same formula = 0.00 eV per formula unit

***

The following is a DFT calculation (PBE) of a geometry-optimized Ac3P12W5 structure.

a b c (Å): 13.5740 13.5740 13.5740
angles (deg): 109.47 109.47 109.47
Positions (direct):
Ac  0.1250  0.2500  0.3750
Ac  0.1250  0.3750  0.7500
Ac  0.2500  0.3750  0.1250
Ac  0.2500  0.8750  0.6250
Ac  0.3750  0.1250  0.2500
Ac  0.3750  0.7500  0.1250
Ac  0.6250  0.2500  0.8750
Ac  0.6250  0.8750  0.7500
Ac  0.7500  0.1250  0.3750
Ac  0.7500  0.6250  0.8750
Ac  0.8750  0.6250  0.2500
Ac  0.8750  0.7500  0.6250
P  0.0103  0.1925  0.1031
P  0.0103  0.3178  0.9071
P  0.0893  0.6925  0.6822
P  0.0893  0.8969  0.4071
P  0.0929  0.6031  0.4107
P  0.0929  0.9897  0.6822
P  0.1031  0.0103  0.1925
P  0.1031  0.5929  0.9107
P  0.1822  0.1925  0.5893
P  0.1822  0.4897  0.5929
P  0.1925  0.1031  0.0103
P  0.1925  0.5893  0.1822
P  0.3075  0.3178  0.9107
P  0.3075  0.4897  0.3969
P  0.3178  0.9071  0.0103
P  0.3178  0.9107  0.3075
P  0.3969  0.3075  0.4897
P  0.3969  0.5893  0.9071
P  0.4071  0.0893  0.8969
P  0.4071  0.8178  0.5103
P  0.4107  0.0929  0.6031
P  0.4107  0.8178  0.8075
P  0.4897  0.3969  0.3075
P  0.4897  0.5929  0.1822
P  0.5103  0.4071  0.8178
P  0.5103  0.6031  0.6925
P  0.5893  0.1822  0.1925
P  0.5893  0.9071  0.3969
P  0.5929  0.1822  0.4897
P  0.5929  0.9107  0.1031
P  0.6031  0.4107  0.0929
P  0.6031  0.6925  0.5103
P  0.6822  0.0893  0.6925
P  0.6822  0.0929  0.9897
P  0.6925  0.5103  0.6031
P  0.6925  0.6822  0.0893
P  0.8075  0.4107  0.8178
P  0.8075  0.8969  0.9897
P  0.8178  0.5103  0.4071
P  0.8178  0.8075  0.4107
P  0.8969  0.4071  0.0893
P  0.8969  0.9897  0.8075
P  0.9071  0.0103  0.3178
P  0.9071  0.3969  0.5893
P  0.9107  0.1031  0.5929
P  0.9107  0.3075  0.3178
P  0.9897  0.6822  0.0929
P  0.9897  0.8075  0.8969
W  0.0000  0.0000  0.0000
W  0.0000  0.0000  0.5000
W  0.0000  0.5000  0.0000
W  0.0000  0.5000  0.5000
W  0.1250  0.7500  0.8750
W  0.1250  0.8750  0.2500
W  0.2500  0.1250  0.8750
W  0.2500  0.6250  0.3750
W  0.3750  0.2500  0.6250
W  0.3750  0.6250  0.7500
W  0.5000  0.0000  0.0000
W  0.5000  0.0000  0.5000
W  0.5000  0.5000  0.0000
W  0.5000  0.5000  0.5000
W  0.6250  0.3750  0.2500
W  0.6250  0.7500  0.3750
W  0.7500  0.3750  0.6250
W  0.7500  0.8750  0.1250
W  0.8750  0.1250  0.7500
W  0.8750  0.2500  0.1250

Calculated values
space group = Ia-3d, No. 230

***

The following is a DFT calculation (PBE) of a geometry-optimized AcP2W structure.

a b c (Å): 3.2712 3.2712 7.0927
angles (deg): 90.00 90.00 90.00
Positions (direct):
Ac  0.0000  0.0000  0.0000
P  0.5000  0.5000  0.3115
P  0.5000  0.5000  0.6885
W  0.0000  0.0000  0.5000

Calculated values
space group = P4/mmm, No. 123
distance to the lowest polymorph of the same formula = 1.11 eV per formula unit

***

The following is a DFT calculation (PBE) of a geometry-optimized AcP3W structure.

a b c (Å): 4.7762 4.7762 4.7762
angles (deg): 90.00 90.00 90.00
Positions (direct):
Ac  0.0000  0.0000  0.0000
P  0.0000  0.5000  0.5000
P  0.5000  0.0000  0.5000
P  0.5000  0.5000  0.0000
W  0.5000  0.5000  0.5000

Calculated values
space group = Pm-3m, No. 221

***

The following is a DFT calculation (PBE) of a geometry-optimized AcP2W structure.

a b c (Å): 6.6958 6.6958 6.6958
angles (deg): 34.16 34.16 34.16
Positions (direct):
Ac  0.0000  0.0000  0.0000
P  0.2283  0.2283  0.2283
P  0.7717  0.7717  0.7717
W  0.5000  0.5000  0.5000

Calculated values
space group = R-3m, No. 166
distance to the lowest polymorph of the same formula = 0.00 eV per formula unit

***

The following is a DFT calculation (PBE) of a geometry-optimized AcYP2 structure.

a b c (Å): 7.3385 7.3385 7.3385
angles (deg): 33.51 33.51 33.51
Positions (direct):
Ac  0.0000  0.0000  0.0000
Y  0.5000  0.5000  0.5000
P  0.2425  0.2425  0.2425
P  0.7575  0.7575  0.7575

Calculated values
space group = R-3m, No. 166
distance to the lowest polymorph of the same formula = 0.00 eV per formula unit

***

The following is a DFT calculation (PBE) of a geometry-optimized AcYP2 structure.

a b c (Å): 5.1323 5.1323 5.1323
angles (deg): 60.00 60.00 60.00
Positions (direct):
Ac  0.0000  0.0000  0.0000
Y  0.5000  0.5000  0.5000
P  0.2500  0.2500  0.2500
P  0.7500  0.7500  0.7500

Calculated values
space group = Fm-3m, No. 225
distance to the lowest polymorph of the same formula = 1.80 eV per formula unit

***

The following is a DFT calculation (PBE) of a geometry-optimized AcYP structure.

a b c (Å): 4.0832 4.0832 6.9152
angles (deg): 90.00 90.00 120.00
Positions (direct):
Ac  0.0000  0.0000  0.0000
Y  0.6667  0.3333  0.5167
P  0.3333  0.6667  0.7247

Calculated values
space group = P3m1, No. 156

***

The following is a DFT calculation (PBE) of a geometry-optimized Ac2YP3 structure.

a b c (Å): 14.2943 13.6269 7.4648
angles (deg): 79.50 69.61 30.90
Positions (direct):
Ac  0.0423  0.0423  0.2077
Ac  0.1241  0.1241  0.6259
Ac  0.2077  0.2077  0.0423
Ac  0.3741  0.3741  0.8759
Ac  0.6259  0.6259  0.1241
Ac  0.7923  0.7923  0.9577
Ac  0.8759  0.8759  0.3741
Ac  0.9577  0.9577  0.7923
Y  0.2914  0.2914  0.4586
Y  0.4586  0.4586  0.2914
Y  0.5414  0.5414  0.7086
Y  0.7086  0.7086  0.5414
P  0.0380  0.5392  0.2276
P  0.1420  0.6080  0.6080
P  0.2276  0.6953  0.0380
P  0.3047  0.7724  0.4608
P  0.3920  0.8580  0.8580
P  0.4608  0.9620  0.3047
P  0.5392  0.0380  0.6953
P  0.6080  0.1420  0.1420
P  0.6953  0.2276  0.5392
P  0.7724  0.3047  0.9620
P  0.8580  0.3920  0.3920
P  0.9620  0.4608  0.7724

Calculated values
space group = Fddd, No. 70

***

The following is a DFT calculation (PBE) of a geometry-optimized AcY2P structure.

a b c (Å): 10.8248 10.8248 10.8248
angles (deg): 20.42 20.42 20.42
Positions (direct):
Ac  0.0000  0.0000  0.0000
Y  0.1167  0.1167  0.1167
Y  0.8833  0.8833  0.8833
P  0.5000  0.5000  0.5000

Calculated values
space group = R-3m, No. 166

***

The following is a DFT calculation (PBE) of a geometry-optimized AcYP2 structure.

a b c (Å): 5.1542 5.1542 3.6344
angles (deg): 90.00 90.00 90.00
Positions (direct):
Ac  0.0000  0.0000  0.0000
Y  0.5000  0.5000  0.0000
P  0.0000  0.5000  0.5000
P  0.5000  0.0000  0.5000

Calculated values
space group = P4/mmm, No. 123
distance to the lowest polymorph of the same formula = 2.00 eV per formula unit

***

The following is a DFT calculation (PBE) of a geometry-optimized AcY5P6 structure.

a b c (Å): 7.0916 7.0916 7.0896
angles (deg): 99.63 99.63 119.98
Positions (direct):
Ac  0.0000  0.0000  0.0000
Y  0.1649  0.8351  0.5000
Y  0.3327  0.6673  0.0000
Y  0.5000  0.5000  0.5000
Y  0.6673  0.3327  0.0000
Y  0.8351  0.1649  0.5000
P  0.0860  0.4319  0.2577
P  0.2601  0.2601  0.7430
P  0.4319  0.0860  0.2577
P  0.5681  0.9140  0.7423
P  0.7399  0.7399  0.2570
P  0.9140  0.5681  0.7423

Calculated values
space group = C2/m, No. 12

***

The following is a DFT calculation (PBE) of a geometry-optimized Ac3YP4 structure.

a b c (Å): 7.5289 8.7066 7.5290
angles (deg): 90.00 109.54 90.00
Positions (direct):
Ac  0.0000  0.1227  0.2500
Ac  0.0000  0.3712  0.7500
Ac  0.0000  0.6288  0.2500
Ac  0.0000  0.8773  0.7500
Ac  0.5000  0.3720  0.2500
Ac  0.5000  0.6280  0.7500
Y  0.5000  0.1217  0.7500
Y  0.5000  0.8783  0.2500
P  0.2562  0.3664  0.5092
P  0.2562  0.6336  0.0092
P  0.2666  0.1163  0.9985
P  0.2666  0.8837  0.4985
P  0.7334  0.1163  0.5015
P  0.7334  0.8837  0.0015
P  0.7438  0.3664  0.9908
P  0.7438  0.6336  0.4908

Calculated values
space group = P2/c, No. 13

***

The following is a DFT calculation (PBE) of a geometry-optimized AcYP2 structure.

a b c (Å): 7.6115 7.6115 7.6115
angles (deg): 31.83 31.83 31.83
Positions (direct):
Ac  0.0000  0.0000  0.0000
Y  0.8289  0.8289  0.8289
P  0.4191  0.4191  0.4191
P  0.5732  0.5732  0.5732

Calculated values
space group = R3m, No. 160
distance to the lowest polymorph of the same formula = 0.70 eV per formula unit

***

no.,total moment (μB/cell),calculated total energy (eV per atom),formation energy (eV/atom)
1,0.01,-8.405,-0.73
2,23.26,-6.544,-0.58
3,3.93,-7.243,-0.31
4,1.99,-5.982,0.03
5,0.00,-6.441,-0.43
6,0.00,-7.323,-0.22
7,0.00,-7.250,-0.28
8,0.00,-7.084,-0.43
9,0.73,-7.526,-0.56
10,0.00,-6.854,-1.51
11,0.00,-6.403,-1.05
12,0.52,-6.217,-0.89
13,0.00,-6.625,-1.47
14,0.00,-6.216,-0.60
15,0.00,-6.354,-1.01
16,0.00,-7.303,-1.56
17,0.00,-6.516,-1.46
18,0.00,-6.679,-1.33